Record 1
A plane-wave DFT calculation with PBE-GGA was carried out for a relaxed structure of Pr5Ag2Pt2.

a = 8.0823 Å, b = 7.7311 Å, c = 8.9364 Å
α = 115.63°, β = 90.00°, γ = 90.00°
Atoms (fractional coordinates):
Pr 0.5000 0.5000 0.0000
Pr 0.8264 0.5406 0.7440
Pr 0.3263 0.9594 0.2560
Pr 0.6736 0.0406 0.7440
Pr 0.1736 0.4594 0.2560
Pr 0.0000 0.0000 0.0000
Pr 0.1736 0.2034 0.7440
Pr 0.8264 0.7966 0.2560
Pr 0.3263 0.7034 0.7440
Pr 0.6736 0.2966 0.2560
Ag 0.0000 0.7891 0.5782
Ag 0.0000 0.2109 0.4218
Ag 0.5000 0.7109 0.4218
Ag 0.5000 0.2891 0.5782
Pt 0.3704 0.1302 0.0000
Pt 0.1296 0.6302 0.0000
Pt 0.6296 0.8698 0.0000
Pt 0.8704 0.3698 0.0000

V, A^3/atom: 28.0
Density, g/cm³: 8.64
E_tot, eV per atom: -5.2179
E above lowest polymorph, meV per atom: 0
Calculated formation energy, kJ/mol of atoms: -56.6

---

Record 2
A plane-wave DFT calculation with PBE-GGA was carried out for a relaxed structure of Pr5AgPt2.

a = 8.1614 Å, b = 8.1614 Å, c = 8.9546 Å
α = 117.11°, β = 117.11°, γ = 90.00°
Atoms (fractional coordinates):
Pr 0.5000 0.5000 0.0000
Pr 0.0238 0.5238 0.7230
Pr 0.9762 0.4762 0.2770
Pr 0.0000 0.0000 0.0000
Pr 0.6992 0.1992 0.7230
Pr 0.4762 0.3008 0.2770
Pr 0.1992 0.0238 0.7230
Pr 0.8008 0.9762 0.2770
Pr 0.3008 0.8008 0.2770
Pr 0.5238 0.6992 0.7230
Pt 0.3680 0.8680 0.0000
Pt 0.6320 0.1320 0.0000
Pt 0.8680 0.6320 0.0000
Pt 0.1320 0.3680 0.0000
Ag 0.2500 0.2500 0.5000
Ag 0.7500 0.7500 0.5000

V, A^3/atom: 28.5
Density, g/cm³: 8.76
E_tot, eV per atom: -5.4873
Calculated formation energy, kJ/mol of atoms: -61.1

---

Record 3
A plane-wave DFT calculation with PBE-GGA was carried out for a relaxed structure of Pr5Ag2Pt2.

a = 6.6575 Å, b = 7.5566 Å, c = 11.1769 Å
α = 109.76°, β = 107.33°, γ = 90.00°
Atoms (fractional coordinates):
Ag 0.5712 0.0046 0.8917
Ag 0.8204 0.5046 0.8917
Ag 0.1795 0.6130 0.1083
Ag 0.4288 0.1130 0.1083
Pr 0.9022 0.2501 0.5000
Pr 0.2560 0.6454 0.8469
Pr 0.0909 0.1454 0.8469
Pr 0.9091 0.2985 0.1531
Pr 0.7440 0.7985 0.1531
Pr 0.6825 0.6942 0.6827
Pr 0.0978 0.7501 0.5000
Pr 0.4998 0.5115 0.3173
Pr 0.5002 0.1942 0.6827
Pr 0.3175 0.0115 0.3173
Pt 0.5000 0.4138 0.0000
Pt 0.6889 0.9049 0.5000
Pt 0.0000 0.9138 0.0000
Pt 0.3111 0.4049 0.5000

V, A^3/atom: 27.9
Density, g/cm³: 8.67
E_tot, eV per atom: -5.1663
E above lowest polymorph, meV per atom: 52
Calculated formation energy, kJ/mol of atoms: -51.6

---

Record 4
A plane-wave DFT calculation with PBE-GGA was carried out for a relaxed structure of Pr4AgPt.

a = 8.2874 Å, b = 8.2874 Å, c = 8.2874 Å
α = 107.24°, β = 107.24°, γ = 114.03°
Atoms (fractional coordinates):
Pr 0.7361 0.4376 0.7015
Pr 0.7088 0.5137 0.1951
Pr 0.3186 0.5137 0.8049
Pr 0.1876 0.9861 0.2015
Pr 0.2637 0.5686 0.3049
Pr 0.2637 0.9588 0.6951
Pr 0.7361 0.0346 0.2985
Pr 0.7846 0.9861 0.7985
Pt 0.5010 0.0010 0.5000
Pt 0.7510 0.7510 0.0000
Ag 0.2494 0.2494 0.0000
Ag 0.9994 0.4994 0.5000

V, A^3/atom: 36.3
Density, g/cm³: 6.60
E_tot, eV per atom: -4.8950
E above lowest polymorph, meV per atom: 258
Calculated formation energy, kJ/mol of atoms: -21.9

---

Record 5
A plane-wave DFT calculation with PBE-GGA was carried out for a relaxed structure of Pr12Ag6Pt.

a = 8.4011 Å, b = 8.4011 Å, c = 8.4011 Å
α = 92.86°, β = 92.86°, γ = 92.86°
Atoms (fractional coordinates):
Pr 0.3260 0.9712 0.1046
Pr 0.6740 0.0288 0.8954
Pr 0.1957 0.4420 0.5429
Pr 0.4571 0.8043 0.5580
Pr 0.8954 0.6740 0.0288
Pr 0.5429 0.1957 0.4420
Pr 0.0288 0.8954 0.6740
Pr 0.1046 0.3260 0.9712
Pr 0.8043 0.5580 0.4571
Pr 0.5580 0.4571 0.8043
Pr 0.4420 0.5429 0.1957
Pr 0.9712 0.1046 0.3260
Ag 0.1341 0.7361 0.3311
Ag 0.7361 0.3311 0.1341
Ag 0.3311 0.1341 0.7361
Ag 0.2639 0.6689 0.8659
Ag 0.6689 0.8659 0.2639
Ag 0.8659 0.2639 0.6689
Pt 0.0000 0.0000 0.0000

V, A^3/atom: 31.1
Density, g/cm³: 7.12
E_tot, eV per atom: -4.3759
Calculated formation energy, kJ/mol of atoms: -13.4

---

Record 6
A plane-wave DFT calculation with PBE-GGA was carried out for a relaxed structure of Pr6AgPt.

a = 6.9788 Å, b = 6.9831 Å, c = 7.9271 Å
α = 63.89°, β = 64.01°, γ = 59.96°
Atoms (fractional coordinates):
Pr 0.0566 0.4264 0.7456
Pr 0.7713 0.0553 0.7458
Pr 0.4269 0.7714 0.7456
Pr 0.9434 0.5736 0.2544
Pr 0.5731 0.2286 0.2544
Pr 0.2287 0.9447 0.2542
Ag 0.5000 0.5000 0.5000
Pt 0.0000 0.0000 0.0000

V, A^3/atom: 36.0
Density, g/cm³: 6.62
E_tot, eV per atom: -4.8326
Calculated formation energy, kJ/mol of atoms: -13.2

---

Record 7
A plane-wave DFT calculation with PBE-GGA was carried out for a relaxed structure of PrAgPt4.

a = 5.4190 Å, b = 5.4190 Å, c = 5.4190 Å
α = 60.00°, β = 60.00°, γ = 60.00°
Atoms (fractional coordinates):
Pt 0.6256 0.1233 0.6256
Pt 0.1233 0.6256 0.6256
Pt 0.6256 0.6256 0.6256
Pt 0.6256 0.6256 0.1233
Ag 0.0000 0.0000 0.0000
Pr 0.2500 0.2500 0.2500

V, A^3/atom: 18.8
Density, g/cm³: 15.19
E_tot, eV per atom: -5.9889
Calculated formation energy, kJ/mol of atoms: -66.6

---

Record 8
A plane-wave DFT calculation with PBE-GGA was carried out for a relaxed structure of PrAg4Pt.

a = 5.5235 Å, b = 5.5235 Å, c = 5.5235 Å
α = 60.00°, β = 60.00°, γ = 60.00°
Atoms (fractional coordinates):
Ag 0.6256 0.6256 0.1233
Ag 0.6256 0.6256 0.6256
Ag 0.1233 0.6256 0.6256
Ag 0.6256 0.1233 0.6256
Pt 0.0000 0.0000 0.0000
Pr 0.2500 0.2500 0.2500

V, A^3/atom: 19.9
Density, g/cm³: 10.70
E_tot, eV per atom: -3.9115
Calculated formation energy, kJ/mol of atoms: -20.0

---

Record 9
A plane-wave DFT calculation with PBE-GGA was carried out for a relaxed structure of PrAgPt.

a = 3.7591 Å, b = 4.4643 Å, c = 8.5893 Å
α = 90.00°, β = 89.99°, γ = 90.00°
Atoms (fractional coordinates):
Pr 0.3116 0.7162 0.1043
Pr 0.3117 0.2162 0.6886
Ag 0.8117 0.7162 0.4853
Ag 0.8115 0.2162 0.3076
Pt 0.8116 0.7162 0.8024
Pt 0.8116 0.2162 0.9905

V, A^3/atom: 24.0
Density, g/cm³: 10.23
E_tot, eV per atom: -5.2240
E above lowest polymorph, meV per atom: 71
Calculated formation energy, kJ/mol of atoms: -64.3

---

Record 10
A plane-wave DFT calculation with PBE-GGA was carried out for a relaxed structure of Pr3Ag2Pt.

a = 5.2616 Å, b = 5.2616 Å, c = 6.4683 Å
α = 90.00°, β = 90.00°, γ = 120.00°
Atoms (fractional coordinates):
Pr 0.3333 0.6667 0.1437
Pr 0.0000 0.0000 0.5000
Pr 0.6667 0.3333 0.8563
Ag 0.6667 0.3333 0.3662
Ag 0.3333 0.6667 0.6338
Pt 0.0000 0.0000 0.0000

V, A^3/atom: 25.8
Density, g/cm³: 8.93
E_tot, eV per atom: -4.8620
E above lowest polymorph, meV per atom: 0
Calculated formation energy, kJ/mol of atoms: -49.7

---

Record 11
A plane-wave DFT calculation with PBE-GGA was carried out for a relaxed structure of Pr6AgPt2.

a = 5.2014 Å, b = 5.8672 Å, c = 9.3980 Å
α = 81.38°, β = 90.00°, γ = 116.31°
Atoms (fractional coordinates):
Pt 0.6187 0.2374 0.8988
Pt 0.3813 0.7626 0.1012
Pr 0.7152 0.4304 0.1709
Pr 0.9612 0.9224 0.8403
Pr 0.2848 0.5696 0.8291
Pr 0.0388 0.0776 0.1597
Pr 0.3449 0.6897 0.4066
Pr 0.6551 0.3103 0.5934
Ag 0.0000 0.0000 0.5000

V, A^3/atom: 28.2
Density, g/cm³: 8.80
E_tot, eV per atom: -5.3177
E above lowest polymorph, meV per atom: 86
Calculated formation energy, kJ/mol of atoms: -45.6

---

Record 12
A plane-wave DFT calculation with PBE-GGA was carried out for a relaxed structure of Pr8AgPt2.

a = 5.9046 Å, b = 8.2113 Å, c = 8.2113 Å
α = 115.34°, β = 98.69°, γ = 98.69°
Atoms (fractional coordinates):
Pr 0.0791 0.0866 0.3331
Pr 0.6852 0.3849 0.3849
Pr 0.3148 0.6151 0.6151
Pr 0.9209 0.6669 0.9134
Pr 0.9209 0.9134 0.6669
Pr 0.5000 0.2383 0.7617
Pr 0.5000 0.7617 0.2383
Pr 0.0791 0.3331 0.0866
Pt 0.0000 0.2975 0.7025
Pt 0.0000 0.7025 0.2975
Ag 0.5000 0.0000 0.0000

V, A^3/atom: 31.4
Density, g/cm³: 7.82
E_tot, eV per atom: -5.1842
Calculated formation energy, kJ/mol of atoms: -33.8

---

Number 9 is which compound? PrAgPt

---

Among the records above, which one has the highest E_tot? PrAg4Pt

---

What is the calculated formation energy in the fourth record? -21.9 kJ/mol of atoms